No. 1
# LaNdZrN3, optimized geometry, DFT PBE
# Uncorrected formation energy, eV/atom: -1.175
# Magnetic moment, μB per cell: 0.00
data_LaNdZrN3
_symmetry_space_group_name_H-M 'P 1 21/m 1'
_symmetry_Int_Tables_number 11
_symmetry_space_group_name_Hall '-P 2yb'
_cell_length_a 6.8222
_cell_length_b 3.4932
_cell_length_c 10.0109
_cell_angle_alpha 90.00
_cell_angle_beta 90.70
_cell_angle_gamma 90.00
loop_
_atom_site_label
_atom_site_fract_x
_atom_site_fract_y
_atom_site_fract_z
_atom_site_occupancy
La1 0.1682 0.2500 0.2238 1
Nd1 0.3511 0.7500 0.8801 1
Zr1 0.1653 0.2500 0.5703 1
N1 0.1413 0.2500 0.7783 1
N2 0.1549 0.7500 0.4474 1
N3 0.3653 0.7500 0.1171 1

=====

No. 2
# YSeBr2, optimized geometry, DFT PBE
# Uncorrected formation energy, eV/atom: -1.271
# Relative energy among the computed polymorphs, meV per atom: 95
# Magnetic moment, μB per cell: 0.00
data_YSeBr2
_symmetry_space_group_name_H-M 'I m m m'
_symmetry_Int_Tables_number 71
_symmetry_space_group_name_Hall '-I 2 2'
_cell_length_a 3.7341
_cell_length_b 4.7782
_cell_length_c 15.1882
_cell_angle_alpha 90.00
_cell_angle_beta 90.00
_cell_angle_gamma 90.00
loop_
_atom_site_label
_atom_site_fract_x
_atom_site_fract_y
_atom_site_fract_z
_atom_site_occupancy
Y1 0.0000 0.0000 0.0000 1
Se1 0.0000 0.0000 0.5000 1
Br1 0.0000 0.5000 0.3528 1

=====

No. 3
# Nd12Dy6Y, optimized geometry, DFT PBE
# Formation energy, eV/atom: 0.234
# Relative energy among the computed polymorphs, meV per atom: 101
# Magnetic moment, μB per cell: 0.00
data_Nd12Dy6Y
_symmetry_space_group_name_H-M 'R -3'
_symmetry_Int_Tables_number 148
_symmetry_space_group_name_Hall '-R 3'
_cell_length_a 14.8980
_cell_length_b 14.8980
_cell_length_c 10.4889
_cell_angle_alpha 90.00
_cell_angle_beta 90.00
_cell_angle_gamma 120.00
loop_
_atom_site_label
_atom_site_fract_x
_atom_site_fract_y
_atom_site_fract_z
_atom_site_occupancy
Nd1 0.0530 0.7994 0.0790 1
Nd2 0.0648 0.8381 0.4193 1
Dy1 0.0503 0.8370 0.7594 1
Y1 0.0000 0.0000 0.0000 1

=====

No. 4
# Cu3Pt, optimized geometry, DFT PBE
# Formation energy, eV/atom: 0.059
# Magnetic moment, μB per cell: 0.00
data_Cu3Pt
_symmetry_space_group_name_H-M 'C m c m'
_symmetry_Int_Tables_number 63
_symmetry_space_group_name_Hall '-C 2c 2'
_cell_length_a 6.9661
_cell_length_b 7.2557
_cell_length_c 4.4376
_cell_angle_alpha 90.00
_cell_angle_beta 90.00
_cell_angle_gamma 90.00
loop_
_atom_site_label
_atom_site_fract_x
_atom_site_fract_y
_atom_site_fract_z
_atom_site_occupancy
Cu1 0.0000 0.0619 0.2500 1
Cu2 0.1703 0.2589 0.7500 1
Pt1 0.0000 0.4041 0.2500 1

=====

No. 5
# PuZn2Au5, optimized geometry, DFT PBE
# Formation energy, eV/atom: -0.201
# Magnetic moment, μB per cell: 11.42
data_PuZn2Au5
_symmetry_space_group_name_H-M 'I m m m'
_symmetry_Int_Tables_number 71
_symmetry_space_group_name_Hall '-I 2 2'
_cell_length_a 3.0894
_cell_length_b 8.4930
_cell_length_c 11.4093
_cell_angle_alpha 90.00
_cell_angle_beta 90.00
_cell_angle_gamma 90.00
loop_
_atom_site_label
_atom_site_fract_x
_atom_site_fract_y
_atom_site_fract_z
_atom_site_occupancy
Pu1 0.0000 0.0000 0.0000 1
Zn1 0.0000 0.5000 0.2444 1
Au1 0.0000 0.2333 0.3648 1
Au2 0.0000 0.5000 0.0000 1

=====

No. 6
# BaSc2Ru, optimized geometry, DFT PBE
# Formation energy, eV/atom: 0.066
# Relative energy among the computed polymorphs, meV per atom: 235
# Magnetic moment, μB per cell: 0.00
data_BaSc2Ru
_symmetry_space_group_name_H-M 'P 1 m 1'
_symmetry_Int_Tables_number 6
_symmetry_space_group_name_Hall 'P -2y'
_cell_length_a 4.1930
_cell_length_b 4.5377
_cell_length_c 6.9544
_cell_angle_alpha 90.00
_cell_angle_beta 107.31
_cell_angle_gamma 90.00
loop_
_atom_site_label
_atom_site_fract_x
_atom_site_fract_y
_atom_site_fract_z
_atom_site_occupancy
Ba1 0.0000 0.0000 0.0000 1
Sc1 0.2461 0.5000 0.4990 1
Sc2 0.7170 0.0000 0.4407 1
Ru1 0.6298 0.5000 0.2637 1

=====

No. 7
# FeSiTc2, optimized geometry, DFT PBE
# Uncorrected formation energy, eV/atom: -0.177
# Magnetic moment, μB per cell: 0.00
data_FeSiTc2
_symmetry_space_group_name_H-M 'A m m 2'
_symmetry_Int_Tables_number 38
_symmetry_space_group_name_Hall 'A 2 -2'
_cell_length_a 3.9232
_cell_length_b 2.7377
_cell_length_c 9.6063
_cell_angle_alpha 90.00
_cell_angle_beta 90.00
_cell_angle_gamma 90.00
loop_
_atom_site_label
_atom_site_fract_x
_atom_site_fract_y
_atom_site_fract_z
_atom_site_occupancy
Fe1 0.0000 0.0000 0.0000 1
Si1 0.5000 0.0000 0.1278 1
Tc1 0.0000 0.0000 0.7369 1
Tc2 0.5000 0.0000 0.3896 1

=====

No. 8
# GeF4, optimized geometry, DFT PBE
# Uncorrected formation energy, eV/atom: -1.692
# Magnetic moment, μB per cell: 0.00
data_GeF4
_symmetry_space_group_name_H-M 'I 4/m'
_symmetry_Int_Tables_number 87
_symmetry_space_group_name_Hall '-I 4'
_cell_length_a 7.0030
_cell_length_b 7.0030
_cell_length_c 2.5620
_cell_angle_alpha 90.00
_cell_angle_beta 90.00
_cell_angle_gamma 90.00
loop_
_atom_site_label
_atom_site_fract_x
_atom_site_fract_y
_atom_site_fract_z
_atom_site_occupancy
Ge1 0.0000 0.0000 0.0000 1
F1 0.0456 0.7813 0.5000 1

=====

No. 9
# CsTa2Be, optimized geometry, DFT PBE
# Formation energy, eV/atom: 1.786
# Magnetic moment, μB per cell: 0.00
data_CsTa2Be
_symmetry_space_group_name_H-M 'I -4 2 d'
_symmetry_Int_Tables_number 122
_symmetry_space_group_name_Hall 'I -4 2bw'
_cell_length_a 4.1714
_cell_length_b 4.1714
_cell_length_c 19.8447
_cell_angle_alpha 90.00
_cell_angle_beta 90.00
_cell_angle_gamma 90.00
loop_
_atom_site_label
_atom_site_fract_x
_atom_site_fract_y
_atom_site_fract_z
_atom_site_occupancy
Cs1 0.0000 0.0000 0.0000 1
Ta1 0.2083 0.2500 0.6250 1
Be1 0.0000 0.0000 0.5000 1

=====

No. 10
# Ta4InTc, optimized geometry, DFT PBE
# Formation energy, eV/atom: 0.375
# Magnetic moment, μB per cell: 0.00
data_Ta4InTc
_symmetry_space_group_name_H-M 'F -4 3 m'
_symmetry_Int_Tables_number 216
_symmetry_space_group_name_Hall 'F -4 2 3'
_cell_length_a 7.6616
_cell_length_b 7.6616
_cell_length_c 7.6616
_cell_angle_alpha 90.00
_cell_angle_beta 90.00
_cell_angle_gamma 90.00
loop_
_atom_site_label
_atom_site_fract_x
_atom_site_fract_y
_atom_site_fract_z
_atom_site_occupancy
Ta1 0.1247 0.1247 0.1247 1
In1 0.0000 0.0000 0.5000 1
Tc1 0.2500 0.2500 0.7500 1

=====

No. 11
# Th3InP2Rh9, optimized geometry, DFT PBE
# Formation energy, eV/atom: -0.724
# Magnetic moment, μB per cell: 0.00
data_Th3InP2Rh9
_symmetry_space_group_name_H-M 'P -3 m 1'
_symmetry_Int_Tables_number 164
_symmetry_space_group_name_Hall '-P 3 2"'
_cell_length_a 5.8780
_cell_length_b 5.8780
_cell_length_c 10.0304
_cell_angle_alpha 90.00
_cell_angle_beta 90.00
_cell_angle_gamma 120.00
loop_
_atom_site_label
_atom_site_fract_x
_atom_site_fract_y
_atom_site_fract_z
_atom_site_occupancy
Th1 0.0000 0.0000 0.0000 1
Th2 0.3333 0.6667 0.7028 1
In1 0.0000 0.0000 0.5000 1
P1 0.3333 0.6667 0.1543 1
Rh1 0.0000 0.5000 0.0000 1
Rh2 0.1567 0.3133 0.2812 1

=====

No. 12
# TiCu2Ag2, optimized geometry, DFT PBE
# Formation energy, eV/atom: 0.247
# Relative energy among the computed polymorphs, meV per atom: 45
# Magnetic moment, μB per cell: 0.00
data_TiCu2Ag2
_symmetry_space_group_name_H-M 'P 4/m b m'
_symmetry_Int_Tables_number 127
_symmetry_space_group_name_Hall '-P 4 2ab'
_cell_length_a 7.6096
_cell_length_b 7.6096
_cell_length_c 2.7522
_cell_angle_alpha 90.00
_cell_angle_beta 90.00
_cell_angle_gamma 90.00
loop_
_atom_site_label
_atom_site_fract_x
_atom_site_fract_y
_atom_site_fract_z
_atom_site_occupancy
Ti1 0.0000 0.0000 0.0000 1
Cu1 0.1690 0.3310 0.5000 1
Ag1 0.1303 0.6303 0.0000 1

=====

Number 1: Fermi-level density of states 2.458 states/eV/f.u.. Number 2: Fermi-level density of states 1.937 states/eV/f.u.. Number 3: Fermi-level density of states 29.511 states/eV/f.u.. Number 4: Fermi-level density of states 2.375 states/eV/f.u.. Number 5: Fermi-level density of states 10.453 states/eV/f.u.. Number 6: Fermi-level density of states 3.738 states/eV/f.u.. Number 7: Fermi-level density of states 3.938 states/eV/f.u.. Number 8: Fermi-level density of states 0.000 states/eV/f.u.. Number 9: Fermi-level density of states 5.892 states/eV/f.u.. Number 10: Fermi-level density of states 8.772 states/eV/f.u.. Number 11: Fermi-level density of states 7.170 states/eV/f.u.. Number 12: Fermi-level density of states 3.675 states/eV/f.u..